Entry from Alexandria via LeMat-Bulk: crystalline LaOsPdC2 at its relaxed geometry (PBE).

a = 4.3675 Å, b = 4.3675 Å, c = 5.1330 Å
α = 90.00°, β = 90.00°, γ = 90.00°
Positions (direct):
La (0.0000, 0.0000, 0.0000)
Os (0.0000, 0.0000, 0.5000)
Pd (0.5000, 0.5000, 0.5000)
C (0.0000, 0.5000, 0.0000)
C (0.5000, 0.0000, 0.0000)

Properties
As for the space group: No. 123.


Entry from Alexandria via LeMat-Bulk: crystalline Sm3MgRh2 at its relaxed geometry (PBE).

a = 8.2539 Å, b = 8.2539 Å, c = 8.2539 Å
α = 132.44°, β = 72.85°, γ = 128.32°
Positions (direct):
Sm (0.0294, 0.7500, 0.2794)
Sm (0.2500, 0.2500, 0.0000)
Sm (0.4706, 0.7500, 0.7206)
Sm (0.5294, 0.2500, 0.2794)
Sm (0.7500, 0.7500, 0.0000)
Sm (0.9706, 0.2500, 0.7206)
Mg (0.0000, 0.5000, 0.5000)
Mg (0.5000, 0.0000, 0.5000)
Rh (0.1370, 0.2088, 0.3458)
Rh (0.3630, 0.7088, 0.0717)
Rh (0.6370, 0.2912, 0.9283)
Rh (0.8630, 0.7912, 0.6542)

Properties
As for the space group: No. 72.


Entry from Alexandria via LeMat-Bulk: crystalline DyGeRh2 at its relaxed geometry (PBE).

a = 8.4601 Å, b = 8.4601 Å, c = 8.4601 Å
α = 38.37°, β = 38.37°, γ = 38.37°
Positions (direct):
Dy (0.0000, 0.0000, 0.0000)
Dy (0.1404, 0.1404, 0.1404)
Dy (0.8596, 0.8596, 0.8596)
Ge (0.3334, 0.3334, 0.3334)
Ge (0.5000, 0.5000, 0.5000)
Ge (0.6666, 0.6666, 0.6666)
Rh (0.0794, 0.5828, 0.5828)
Rh (0.4172, 0.4172, 0.9206)
Rh (0.4172, 0.9206, 0.4172)
Rh (0.5828, 0.0794, 0.5828)
Rh (0.5828, 0.5828, 0.0794)
Rh (0.9206, 0.4172, 0.4172)

Properties
As for the space group: No. 166.


Values of mass density, in order: 7.8; 7.1; 10.5, all in g/cm3.
Values of total DFT energy (no corrections), in order: -24.9; -67.3; -82.3, all in eV/cell.